Record 1
The following is a PBE calculation of crystalline In2Hg3Bi at its relaxed geometry, from Alexandria.

POSCAR file:
```
In2Hg3Bi
1.0
-1.525 -4.500 0.645
4.080 -0.627 5.273
-7.652 3.502 6.338
Hg Bi In
6 2 4
Direct
0.500 0.189 0.116
0.500 0.644 0.267
0.500 0.144 0.733
0.500 0.689 0.884
0.000 0.364 0.401
0.000 0.864 0.599
0.000 0.501 0.082
0.000 0.001 0.918
0.000 0.949 0.230
0.500 0.053 0.441
0.000 0.449 0.770
0.500 0.553 0.559
```

Spin magnetization in μB/f.u.: 0.000
DFT total energy in eV per atom: -1.669
E above lowest polymorph in meV/atom: 22
Volume in Å³/cell: 338.3
Energy relative to the elements in meV per atom: 41.4
ρ in kg/m³: 10215


Record 2
The following is a PBE calculation of crystalline InHg2Bi at its relaxed geometry, from Alexandria.

POSCAR file:
```
InHg2Bi
1.0
-2.049 -1.988 1.901
-2.337 -2.000 -1.516
6.149 -9.758 -0.485
Hg In Bi
2 1 1
Direct
0.910 0.910 0.270
0.090 0.090 0.730
0.500 0.500 0.500
0.000 0.000 0.000
```

Spin magnetization in μB/f.u.: 0.000
DFT total energy in eV per atom: -1.765
Volume in Å³/cell: 115.9
Energy relative to the elements in meV per atom: 41.0
ρ in kg/m³: 10390


Record 3
The following is a PBE calculation of crystalline In6Hg23Bi at its relaxed geometry, from Alexandria.

POSCAR file:
```
In6Hg23Bi
1.0
-2.632 9.832 2.738
-9.108 1.825 4.980
0.020 2.827 10.154
Hg In Bi
23 6 1
Direct
0.367 0.898 0.367
0.000 0.500 0.500
0.873 0.381 0.873
0.127 0.127 0.619
0.633 0.633 0.102
0.500 0.000 0.500
0.619 0.127 0.127
0.381 0.873 0.873
0.633 0.102 0.633
0.000 0.000 0.500
0.102 0.633 0.633
0.367 0.367 0.898
0.500 0.000 0.000
0.000 0.000 0.000
0.127 0.127 0.127
0.873 0.873 0.873
0.127 0.619 0.127
0.367 0.367 0.367
0.000 0.500 0.000
0.898 0.367 0.367
0.633 0.633 0.633
0.873 0.873 0.381
0.500 0.500 0.000
0.750 0.750 0.250
0.250 0.750 0.250
0.250 0.750 0.750
0.250 0.250 0.750
0.750 0.250 0.750
0.750 0.250 0.250
0.500 0.500 0.500
```

Spin magnetization in μB/f.u.: 0.000
DFT total energy in eV per atom: -0.883
Volume in Å³/cell: 828.0
Energy relative to the elements in meV per atom: 25.5
ρ in kg/m³: 11054


Record 4
The following is a PBE calculation of crystalline In7HgBi2 at its relaxed geometry, from Alexandria.

POSCAR file:
```
In7HgBi2
1.0
0.271 -1.455 -4.431
-1.673 -4.174 1.268
-12.379 7.362 -0.711
Bi Hg In
2 1 7
Direct
0.672 0.672 0.345
0.328 0.328 0.655
0.000 0.000 0.000
0.087 0.587 0.173
0.587 0.087 0.173
0.750 0.250 0.500
0.500 0.500 0.000
0.913 0.413 0.827
0.413 0.913 0.827
0.250 0.750 0.500
```

Spin magnetization in μB/f.u.: 0.000
DFT total energy in eV per atom: -2.669
Volume in Å³/cell: 306.4
Energy relative to the elements in meV per atom: 53.8
ρ in kg/m³: 7708


Number 1 is which compound?
In2Hg3Bi


DFT total energy of number 3 (In6Hg23Bi)?
-0.883 eV per atom


Number 4 is which compound?
In7HgBi2